VGaO3 | PBE+U | relaxed

## Properties
space group = No. 63
M_tot = 2.00 μB/f.u.
calculated total energy = -6.97 eV/atom
DOS(E_F) = 0.00 states/eV/f.u.

Lattice parameters (Å, degrees): 3.1624 5.4454 6.3589 90.00 104.40 90.00
Last column: nearest neighbours and their distance in Å.
Atoms (fractional coordinates):
V: 0.6874 0.2500 0.3749  7 O 2.08-2.21
V: 0.3126 0.7500 0.6251  7 O 2.08-2.21
O: 0.1692 0.5045 0.3384  1 Ga 1.87
O: 0.5188 0.2500 0.0376  2 Ga 1.87, 1 V 2.08
O: 0.4812 0.7500 0.9624  2 Ga 1.87, 1 V 2.08
O: 0.8308 0.0045 0.6616  1 Ga 1.87
O: 0.8308 0.4955 0.6616  1 Ga 1.87
O: 0.1692 0.9955 0.3384  1 Ga 1.87
Ga: 0.9372 0.2500 0.8745  4 O 1.87
Ga: 0.0628 0.7500 0.1255  4 O 1.87